Crystalline LaCuSn at its relaxed geometry. Source: Alexandria, functional PBE-GGA.

The structure in extended XYZ format:
```
6
Lattice="5.307 0.000 0.000 -2.653 4.596 0.000 0.000 0.000 6.458" Properties=species:S:1:pos:R:3 pbc="T T T"
La 0.000 3.064 1.615
La 2.653 1.532 4.844
Cu 0.000 0.000 0.000
Cu 0.000 0.000 3.229
Sn 0.000 3.064 4.844
Sn 2.653 1.532 1.615
```

Computed properties:
The value obtained for the calculated volume is 26.3 Å³ per atom. For the formation energy, the calculation gives -0.1817 eV per atom.


Crystalline MgCd3Os at its relaxed geometry. Source: Alexandria, functional PBE-GGA.

The structure in extended XYZ format:
```
5
Lattice="5.194 0.000 0.000 0.000 5.194 0.000 0.000 0.000 5.194" Properties=species:S:1:pos:R:3 pbc="T T T"
Mg 0.000 0.000 0.000
Cd 0.000 2.597 2.597
Cd 2.597 0.000 2.597
Cd 2.597 2.597 0.000
Os 2.597 2.597 2.597
```

Computed properties:
The value obtained for the calculated volume is 28.0 Å³ per atom. For the formation energy, the calculation gives 0.7621 eV per atom.


Crystalline NbGaP at its relaxed geometry. Source: Alexandria, functional PBE-GGA.

The structure in extended XYZ format:
```
6
Lattice="1.974 1.140 7.752 -1.974 1.140 7.752 0.000 -2.280 7.752" Properties=species:S:1:pos:R:3 pbc="T T T"
Nb 0.000 0.000 2.031
Nb 0.000 0.000 21.225
Ga 0.000 0.000 8.168
Ga 0.000 0.000 15.087
P 0.000 0.000 4.567
P 0.000 0.000 18.688
```

Computed properties:
The value obtained for the calculated volume is 17.4 Å³ per atom. For the formation energy, the calculation gives -0.1191 eV per atom.


Crystalline CaZnCu at its relaxed geometry. Source: Alexandria, functional PBE-GGA.

The structure in extended XYZ format:
```
6
Lattice="4.382 0.000 0.000 0.000 3.861 0.000 -0.036 0.000 7.477" Properties=species:S:1:pos:R:3 pbc="T T T"
Ca 1.088 0.000 1.750
Ca 3.258 0.000 5.728
Zn 1.075 1.928 4.383
Zn 3.271 1.928 3.094
Cu 1.063 1.932 6.868
Cu 3.283 1.932 0.609
```

Computed properties:
The value obtained for the calculated volume is 21.1 Å³ per atom. For the formation energy, the calculation gives -0.1963 eV per atom.


Crystalline Rb2Hg2Pt at its relaxed geometry. Source: Alexandria, functional PBE-GGA.

The structure in extended XYZ format:
```
10
Lattice="6.868 0.000 0.000 0.000 6.868 0.000 0.000 0.000 8.124" Properties=species:S:1:pos:R:3 pbc="T T T"
Rb 0.000 3.434 2.031
Rb 0.000 3.434 6.093
Rb 3.434 0.000 2.031
Rb 3.434 0.000 6.093
Hg 0.000 0.000 1.408
Hg 0.000 0.000 6.716
Hg 3.434 3.434 2.654
Hg 3.434 3.434 5.471
Pt 0.000 0.000 4.062
Pt 3.434 3.434 0.000
```

Computed properties:
The value obtained for the calculated volume is 38.3 Å³ per atom. For the formation energy, the calculation gives -0.0463 eV per atom.


Crystalline LiCrAg at its relaxed geometry. Source: Alexandria, functional PBE-GGA.

The structure in extended XYZ format:
```
3
Lattice="4.497 0.000 0.000 -2.249 3.895 0.000 0.000 0.000 2.878" Properties=species:S:1:pos:R:3 pbc="T T T"
Li 0.000 0.000 0.000
Cr 0.000 2.596 1.971
Ag 2.249 1.298 0.752
```

Computed properties:
The value obtained for the calculated volume is 16.8 Å³ per atom. For the formation energy, the calculation gives 0.3672 eV per atom.


Crystalline Mg3P2Pd4Pt3 at its relaxed geometry. Source: Alexandria, functional PBE-GGA.

The structure in extended XYZ format:
```
12
Lattice="3.877 0.000 0.000 0.000 3.980 0.000 1.928 0.009 13.447" Properties=species:S:1:pos:R:3 pbc="T T T"
Mg 0.000 0.000 0.000
Mg 1.925 3.981 7.853
Mg 3.865 0.008 5.480
P 1.922 1.997 2.230
P 3.869 1.991 11.101
Pd 1.925 1.998 5.665
Pd 1.923 0.008 3.496
Pd 3.866 3.981 9.836
Pd 3.865 1.992 7.665
Pt 1.929 1.991 9.810
Pt 3.863 1.999 13.390
Pt 3.861 1.998 3.521
```

Computed properties:
The value obtained for the calculated volume is 17.3 Å³ per atom. For the formation energy, the calculation gives -0.6363 eV per atom.


Crystalline La8Si3HgBr4 at its relaxed geometry. Source: Alexandria, functional PBE-GGA.

The structure in extended XYZ format:
```
16
Lattice="4.436 2.561 7.198 -4.436 2.561 7.198 0.000 -5.122 7.198" Properties=species:S:1:pos:R:3 pbc="T T T"
La -2.304 -1.330 12.450
La 0.000 0.000 5.178
La 0.000 -2.660 9.144
La -2.304 1.330 9.144
La 2.304 -1.330 12.450
La 0.000 2.660 12.450
La 0.000 0.000 16.415
La 2.304 1.330 9.144
Si -4.436 0.000 10.797
Si -2.218 1.280 3.599
Si 2.218 1.280 3.599
Hg 0.000 0.000 10.797
Br 0.000 0.000 0.000
Br -2.218 -1.280 7.198
Br -2.218 1.280 14.396
Br 0.000 2.561 7.198
```

Computed properties:
The value obtained for the calculated volume is 30.7 Å³ per atom. The calculation puts the uncorrected formation energy at -1063 meV per atom.


Crystalline LiNiH at its relaxed geometry. Source: Alexandria, functional PBE-GGA.

The structure in extended XYZ format:
```
12
Lattice="8.674 0.000 0.000 0.000 2.502 0.000 -3.984 0.000 4.945" Properties=species:S:1:pos:R:3 pbc="T T T"
Li -0.812 0.000 1.688
Li 1.165 1.251 3.257
Li 3.525 1.251 1.688
Li 5.503 0.000 3.257
Ni 1.296 1.251 0.596
Ni -0.942 0.000 4.349
Ni 5.633 0.000 0.596
Ni 3.395 1.251 4.349
H -0.737 1.251 3.311
H 1.090 0.000 1.634
H 3.601 0.000 3.311
H 5.427 1.251 1.634
```

Computed properties:
The value obtained for the calculated volume is 8.9 Å³ per atom. The total energy comes out at -46.1 eV/cell.